No. 1
Compound: Nd2Sm8Th3
Source: Alexandria via LeMat-Bulk
Functional: PBE
Structure: optimized geometry

Lattice parameters (Å, degrees): 20.4770 7.9276 5.6661 90.00 90.05 90.00
Closest atoms and distances in Å follow each position.
Space group C2/m (No. 12)
Inequivalent atoms, fractional coordinates:
Nd 0.2401 0.0000 0.4984  8 Sm 3.42-3.69
Sm 0.1050 0.2943 0.5005  1 Th 3.17, 3 Sm 3.26-3.50
Sm 0.1252 0.0000 0.9996  4 Th 3.46-3.82, 2 Nd 3.68-3.69, 4 Sm 3.69-3.70
Sm 0.1660 0.5000 0.0012  2 Nd 3.42, 4 Sm 3.50, 2 Th 3.77
Th 0.0000 0.0000 0.5000  4 Sm 3.17
Th 0.0000 0.2938 0.0000  1 Th 3.27, 6 Sm 3.46-3.56

## Properties
The total magnetization is 0.0 μB/f.u.


No. 2
Compound: Sm8Er3Sc2
Source: Alexandria via LeMat-Bulk
Functional: PBE
Structure: optimized geometry

Lattice parameters (Å, degrees): 19.6002 7.7282 5.6367 90.00 90.02 90.00
Closest atoms and distances in Å follow each position.
Space group C2/m (No. 12)
Inequivalent atoms, fractional coordinates:
Sm 0.1103 0.2057 0.0002  1 Er 3.14, 3 Sm 3.18-3.50, 2 Sc 3.34-3.41
Sm 0.1328 0.5000 0.4998  2 Er 3.42, 2 Sc 3.51, 5 Sm 3.65-3.72
Sm 0.1776 0.0000 0.5006  2 Sc 3.25, 4 Sm 3.49-3.50
Er 0.0000 0.2127 0.5000  3 Er 3.29-3.59, 6 Sm 3.42-3.55
Er 0.0000 0.5000 0.0000  4 Sm 3.14
Sc 0.2397 0.5000 0.9993  8 Sm 3.25-3.51

## Properties
The total magnetization is 0.0 μB/f.u. Its energy above the most stable polymorph in this dataset is 0.000 eV per atom.


Number 1: energy of formation 0.2572 eV/atom. Number 2: energy of formation 0.2186 eV/atom.